# 1
Compound: PaV2Fe
Source: Alexandria
Functional: PBE-GGA
Structure: optimized geometry

Cell and atoms, written as POSCAR:
```
PaV2Fe
1.0
0.0000 3.0876 3.0876
3.0876 0.0000 3.0876
3.0876 3.0876 0.0000
Pa V Fe
1 2 1
Direct
0.0000 0.0000 0.0000
0.2500 0.2500 0.2500
0.7500 0.7500 0.7500
0.5000 0.5000 0.5000
```

The value obtained for the relative energy among the computed polymorphs is 0 meV/atom. The raw total energy is -8.9157 eV/atom. As for the space group: Fm-3m. For the formation energy, the calculation gives 133 meV per atom. For the volume, the calculation gives 14.72 Å³ per atom.

# 2
Compound: PaVFe4
Source: Alexandria
Functional: PBE-GGA
Structure: optimized geometry

Cell and atoms, written as POSCAR:
```
PaVFe4
1.0
0.0000 3.4740 3.4740
3.4740 0.0000 3.4740
3.4740 3.4740 0.0000
Pa V Fe
1 1 4
Direct
0.0000 0.0000 0.0000
0.7500 0.7500 0.7500
0.3755 0.3755 0.3755
0.3755 0.3755 0.8735
0.3755 0.8735 0.3755
0.8735 0.3755 0.3755
```

The raw total energy is -8.7735 eV/atom. As for the space group: F-43m. For the formation energy, the calculation gives -29 meV per atom. For the volume, the calculation gives 13.98 Å³ per atom.

Number 1: ρ 11.0 g/cm3. Number 2: ρ 10.0 g/cm3.